No. 1
Compound: Rb2LiPb2
Source: Alexandria via LeMat-Bulk
Functional: PBE
Structure: relaxed Values from VASP.

symmetry: P4/mbm, No. 127
crystal system: tetragonal
calculated total energy: -2.122 eV/atom
E_form: 63 kJ/mol of formula units

```
&SYSTEM
  ibrav = 0, nat = 10, ntyp = 3
/
ATOMIC_SPECIES
Pb 207.20 Pb.upf
Rb 85.47 Rb.upf
Li 6.94 Li.upf
CELL_PARAMETERS angstrom
10.930 0.000 0.000
0.000 10.930 0.000
0.000 0.000 3.655
ATOMIC_POSITIONS crystal
Pb 0.098 0.598 0.500
Pb 0.598 0.902 0.500
Pb 0.902 0.402 0.500
Pb 0.402 0.098 0.500
Rb 0.304 0.804 0.000
Rb 0.804 0.696 0.000
Rb 0.696 0.196 0.000
Rb 0.196 0.304 0.000
Li 0.000 0.000 0.000
Li 0.500 0.500 0.000
```

=====

No. 2
Compound: RbLi2Pb2
Source: Alexandria via LeMat-Bulk
Functional: PBE
Structure: relaxed Values from VASP.

symmetry: P4/mbm, No. 127
crystal system: tetragonal
calculated total energy: -2.604 eV/atom
E_form: -78 kJ/mol of formula units

```
&SYSTEM
  ibrav = 0, nat = 10, ntyp = 3
/
ATOMIC_SPECIES
Pb 207.20 Pb.upf
Rb 85.47 Rb.upf
Li 6.94 Li.upf
CELL_PARAMETERS angstrom
-9.033 -1.487 -0.865
-0.385 -2.763 8.762
-0.613 3.158 0.969
ATOMIC_POSITIONS crystal
Pb 0.128 0.628 0.500
Pb 0.628 0.872 0.500
Pb 0.872 0.372 0.500
Pb 0.372 0.128 0.500
Rb 0.000 0.000 0.000
Rb 0.500 0.500 0.000
Li 0.349 0.849 0.000
Li 0.849 0.651 0.000
Li 0.651 0.151 0.000
Li 0.151 0.349 0.000
```

=====

No. 3
Compound: RbLi2Pb9
Source: Alexandria via LeMat-Bulk
Functional: PBE
Structure: relaxed Values from VASP.

symmetry: P6/mmm, No. 191
crystal system: hexagonal
calculated total energy: -3.283 eV/atom
E_form: -118 kJ/mol of formula units

```
&SYSTEM
  ibrav = 0, nat = 12, ntyp = 3
/
ATOMIC_SPECIES
Rb 85.47 Rb.upf
Li 6.94 Li.upf
Pb 207.20 Pb.upf
CELL_PARAMETERS angstrom
-2.983 2.235 -2.901
7.301 1.789 -6.128
-5.210 -8.130 -0.907
ATOMIC_POSITIONS crystal
Rb 0.000 0.000 0.000
Li 0.000 0.667 0.333
Li 0.000 0.333 0.667
Pb 0.500 0.787 0.213
Pb 0.000 0.000 0.500
Pb 0.000 0.500 0.500
Pb 0.500 0.787 0.575
Pb 0.500 0.213 0.787
Pb 0.500 0.575 0.787
Pb 0.500 0.213 0.425
Pb 0.000 0.500 0.000
Pb 0.500 0.425 0.213
```

=====

No. 4
Compound: Rb2LiPb2
Source: Alexandria via LeMat-Bulk
Functional: PBE
Structure: relaxed Values from VASP.

symmetry: P4/mbm, No. 127
crystal system: tetragonal
calculated total energy: -2.265 eV/atom
E_form: -6 kJ/mol of formula units

```
&SYSTEM
  ibrav = 0, nat = 10, ntyp = 3
/
ATOMIC_SPECIES
Pb 207.20 Pb.upf
Rb 85.47 Rb.upf
Li 6.94 Li.upf
CELL_PARAMETERS angstrom
8.040 0.000 0.000
0.000 8.040 0.000
0.000 0.000 6.212
ATOMIC_POSITIONS crystal
Pb 0.365 0.865 0.000
Pb 0.865 0.635 0.000
Pb 0.635 0.135 0.000
Pb 0.135 0.365 0.000
Rb 0.177 0.677 0.500
Rb 0.677 0.823 0.500
Rb 0.823 0.323 0.500
Rb 0.323 0.177 0.500
Li 0.000 0.000 0.000
Li 0.500 0.500 0.000
```

=====

No. 5
Compound: Rb2LiPb7
Source: Alexandria via LeMat-Bulk
Functional: PBE
Structure: relaxed Values from VASP.

symmetry: P-4m2, No. 115
crystal system: tetragonal
calculated total energy: -3.079 eV/atom
E_form: -95 kJ/mol of formula units

```
&SYSTEM
  ibrav = 0, nat = 10, ntyp = 3
/
ATOMIC_SPECIES
Rb 85.47 Rb.upf
Li 6.94 Li.upf
Pb 207.20 Pb.upf
CELL_PARAMETERS angstrom
5.150 0.000 0.000
0.000 5.150 0.000
0.000 0.000 13.974
ATOMIC_POSITIONS crystal
Rb 0.500 0.000 0.756
Rb 0.000 0.500 0.244
Li 0.500 0.500 0.000
Pb 0.000 0.500 0.872
Pb 0.500 0.000 0.359
Pb 0.500 0.000 0.128
Pb 0.000 0.500 0.641
Pb 0.000 0.000 0.500
Pb 0.000 0.000 0.000
Pb 0.500 0.500 0.500
```

=====

No. 6
Compound: RbLi2Pb4
Source: Alexandria via LeMat-Bulk
Functional: PBE
Structure: relaxed Values from VASP.

symmetry: P4_2/mnm, No. 136
crystal system: tetragonal
calculated total energy: -2.940 eV/atom
E_form: -92 kJ/mol of formula units

```
&SYSTEM
  ibrav = 0, nat = 14, ntyp = 3
/
ATOMIC_SPECIES
Rb 85.47 Rb.upf
Li 6.94 Li.upf
Pb 207.20 Pb.upf
CELL_PARAMETERS angstrom
-4.070 1.185 1.821
3.807 -0.585 8.891
2.515 9.346 -0.461
ATOMIC_POSITIONS crystal
Rb 0.500 0.000 0.000
Rb 0.000 0.500 0.500
Li 0.000 0.220 0.780
Li 0.000 0.780 0.220
Li 0.500 0.720 0.720
Li 0.500 0.280 0.280
Pb 0.000 0.071 0.335
Pb 0.000 0.929 0.665
Pb 0.500 0.165 0.571
Pb 0.500 0.835 0.429
Pb 0.500 0.429 0.835
Pb 0.500 0.571 0.165
Pb 0.000 0.335 0.071
Pb 0.000 0.665 0.929
```

=====

No. 7
Compound: Rb2LiPb2
Source: Alexandria via LeMat-Bulk
Functional: PBE
Structure: relaxed Values from VASP.

symmetry: I4/mmm, No. 139
crystal system: tetragonal
calculated total energy: -2.125 eV/atom
E_form: 62 kJ/mol of formula units

```
&SYSTEM
  ibrav = 0, nat = 5, ntyp = 3
/
ATOMIC_SPECIES
Pb 207.20 Pb.upf
Rb 85.47 Rb.upf
Li 6.94 Li.upf
CELL_PARAMETERS angstrom
4.539 0.000 0.000
0.000 4.539 0.000
2.269 2.269 11.787
ATOMIC_POSITIONS crystal
Pb 0.750 0.250 0.500
Pb 0.250 0.750 0.500
Rb 0.389 0.389 0.222
Rb 0.611 0.611 0.778
Li 0.000 0.000 0.000
```

=====

No. 8
Compound: RbLiPb2
Source: Alexandria via LeMat-Bulk
Functional: PBE
Structure: relaxed Values from VASP.

symmetry: I-42d, No. 122
crystal system: tetragonal
calculated total energy: -2.547 eV/atom
E_form: 11 kJ/mol of formula units

```
&SYSTEM
  ibrav = 0, nat = 8, ntyp = 3
/
ATOMIC_SPECIES
Pb 207.20 Pb.upf
Rb 85.47 Rb.upf
Li 6.94 Li.upf
CELL_PARAMETERS angstrom
-3.347 -4.668 1.135
1.125 -2.107 -5.346
6.964 -8.295 1.528
ATOMIC_POSITIONS crystal
Pb 0.421 0.125 0.250
Pb 0.329 0.625 0.250
Pb 0.375 0.579 0.750
Pb 0.875 0.671 0.750
Rb 0.000 0.000 0.000
Rb 0.750 0.250 0.500
Li 0.500 0.500 0.000
Li 0.250 0.750 0.500
```

=====

no.,total magnetization (μB per cell),calculated volume (A^3/atom)
1,0.00,43.7
2,0.00,28.4
3,0.00,32.1
4,0.00,40.2
5,0.00,37.1
6,0.00,30.9
7,0.00,48.6
8,0.00,43.4